# Dy7Tm12Zr

Dy7Tm12Zr after structural relaxation (PBE, Alexandria). Values from VASP.

Spin magnetization in μB per cell: 0.43
VASP energy in eV per atom: -4.45
Calculated volume in Å³ per atom: 31.551

Structure (Quantum ESPRESSO input):
```
&SYSTEM
  ibrav = 0, nat = 20, ntyp = 3
/
ATOMIC_SPECIES
Dy 162.50 Dy.upf
Tm 168.93 Tm.upf
Zr 91.22 Zr.upf
ATOMIC_POSITIONS crystal
Dy 0.000 0.000 0.000
Dy 0.159 0.498 0.604
Dy 0.396 0.841 0.502
Dy 0.498 0.604 0.159
Dy 0.502 0.396 0.841
Dy 0.604 0.159 0.498
Dy 0.841 0.502 0.396
Tm 0.045 0.158 0.379
Tm 0.129 0.717 0.259
Tm 0.158 0.379 0.045
Tm 0.259 0.129 0.717
Tm 0.283 0.741 0.871
Tm 0.379 0.045 0.158
Tm 0.621 0.955 0.842
Tm 0.717 0.259 0.129
Tm 0.741 0.871 0.283
Tm 0.842 0.621 0.955
Tm 0.871 0.283 0.741
Tm 0.955 0.842 0.621
Zr 0.500 0.500 0.500
CELL_PARAMETERS angstrom
6.033 3.483 5.005
-6.033 3.483 5.005
0.000 -6.966 5.005
```